(1)
Here is KBa2Zn2 after structural relaxation from Alexandria via LeMat-Bulk. Energies are from GGA-PBE.

**Total magnetization**: 0.000 μB/cell
**E_form**: 5.09 kJ per mole of atoms

Geometry as POSCAR:
```
KBa2Zn2
1.0
-1.929 -2.587 -2.795
-0.630 -2.873 3.094
-12.430 2.644 2.870
Zn Ba K
2 2 1
Cartesian
-7.169 -1.479 3.056
-7.819 -1.336 0.112
-4.572 -1.143 0.953
-10.417 -1.672 2.216
0.000 0.000 0.000
```

---

(2)
Here is La4Sm2HoEr after structural relaxation from Alexandria via LeMat-Bulk. Energies are from GGA-PBE.

**Total magnetization**: 0.000 μB/cell
**E_form**: 1.72 kJ per mole of atoms

Geometry as POSCAR:
```
La4Sm2HoEr
1.0
-5.147 -0.757 0.729
0.210 -4.284 -2.969
2.189 -9.866 5.209
Ho La Sm Er
1 4 2 1
Cartesian
1.199 -7.075 1.120
1.799 -10.614 1.678
-1.870 -6.054 -0.565
-0.878 -8.853 3.534
-4.547 -4.292 1.291
-1.479 -5.311 2.969
2.189 -9.866 5.209
-2.469 -2.521 -1.120
```

---

(3)
Here is NaAcSb2 after structural relaxation from Alexandria via LeMat-Bulk. Energies are from GGA-PBE.

**E_form (uncorrected)**: -3.0 eV/f.u.
**Total magnetization**: 0.000 μB/cell

Geometry as POSCAR:
```
NaAcSb2
1.0
4.508 0.000 0.000
0.000 4.508 0.000
0.000 0.000 12.582
Sb Na Ac
4 2 2
Cartesian
2.254 2.254 6.291
2.254 0.000 2.260
0.000 2.254 10.321
0.000 0.000 6.291
2.254 2.254 0.000
0.000 0.000 0.000
2.254 0.000 9.030
0.000 2.254 3.551
```

---

(4)
Here is La6Cd2CoIr after structural relaxation from Alexandria via LeMat-Bulk. Energies are from GGA-PBE.

**Total magnetization**: 0.000 μB/cell
**E_form**: -29.36 kJ per mole of atoms

Geometry as POSCAR:
```
La6Cd2CoIr
1.0
7.764 -0.223 0.016
-0.228 7.783 -0.007
-3.761 -3.792 5.372
La Ir Cd Co
6 1 2 1
Cartesian
-2.049 1.945 5.347
-0.457 -0.489 2.617
1.876 1.793 0.685
5.825 1.830 0.032
4.233 4.263 2.761
1.900 1.982 4.693
0.007 -0.009 5.375
3.885 -0.108 2.710
-0.109 3.883 2.669
4.003 -4.011 5.387
```